Entry 1:
Entry from Alexandria via LeMat-Bulk: crystalline LiCe4Ir2 at its relaxed geometry (PBE).

## Properties
The calculated formation energy is -0.392 eV/atom. As for the symmetry: No. 1.

```
LiCe4Ir2
1.0
-2.016 -6.379 2.492
5.670 -1.560 -4.044
2.148 5.092 6.303
Ce Ir Li
8 4 2
direct
0.227 0.117 0.720
0.502 0.716 0.909
0.436 0.462 0.216
0.873 0.672 0.683
0.709 0.180 0.711
0.922 0.621 0.179
0.365 0.976 0.219
0.964 0.252 0.407
0.614 0.181 0.041
0.120 0.501 0.905
0.432 0.365 0.543
0.755 0.871 0.402
0.360 0.719 0.533
0.972 0.118 0.033
```



Entry 2:
Entry from Alexandria via LeMat-Bulk: crystalline BaCdSi2Tc at its relaxed geometry (PBE).

## Properties
The calculation puts the uncorrected formation energy at -188 meV/atom. As for the symmetry: No. 123.

```
BaCdSi2Tc
1.0
-1.523 0.198 -4.478
4.430 -0.657 -1.536
-0.766 -5.236 0.029
Ba Si Tc Cd
1 2 1 1
direct
0.500 0.500 0.500
0.000 0.500 0.000
0.500 0.000 0.000
0.000 0.000 0.000
0.000 0.000 0.500
```



Entry 3:
Entry from Alexandria via LeMat-Bulk: crystalline Lu3SnC at its relaxed geometry (PBE).

## Properties
The calculated formation energy is -0.672 eV/atom. As for the symmetry: No. 221.

```
Lu3SnC
1.0
-0.266 1.239 -4.587
-3.920 -2.653 -0.489
-2.685 3.752 1.168
C Lu Sn
1 3 1
direct
0.500 0.500 0.500
0.500 0.000 0.500
0.500 0.500 0.000
0.000 0.500 0.500
0.000 0.000 0.000
```



Entry 4:
Entry from Alexandria via LeMat-Bulk: crystalline Ni5H6 at its relaxed geometry (PBE).

## Properties
The total energy is -4.488 eV/atom. As for the symmetry: No. 12.

```
Ni5H6
1.0
-3.939 0.016 -2.166
-1.749 -3.839 -1.513
-3.350 -0.519 2.922
Ni H
5 6
direct
0.833 0.334 0.500
0.167 0.666 0.500
0.666 0.668 0.000
0.500 0.000 0.500
0.334 0.332 0.000
0.919 0.651 0.246
0.081 0.349 0.754
0.746 0.000 0.735
0.570 0.349 0.246
0.254 0.000 0.265
0.430 0.651 0.754
```



Entry 5:
Entry from Alexandria via LeMat-Bulk: crystalline Mn5SnCl12 at its relaxed geometry (PBE).

## Properties
The calculation puts the uncorrected formation energy at -1054 meV/atom. As for the symmetry: No. 12.

```
Mn5SnCl12
1.0
6.579 0.000 0.008
3.289 5.704 0.004
0.010 0.000 13.039
Sn Cl Mn
1 12 5
direct
0.000 0.000 0.000
0.833 0.667 0.603
0.166 0.000 0.604
0.500 0.667 0.397
0.834 0.000 0.396
0.000 0.631 0.112
0.000 0.369 0.888
0.500 0.333 0.603
0.167 0.333 0.397
0.370 0.631 0.888
0.369 0.000 0.112
0.630 0.369 0.112
0.631 0.000 0.888
0.667 0.667 0.000
0.500 0.000 0.500
0.167 0.667 0.500
0.833 0.333 0.500
0.333 0.333 0.000
```



Entry 6:
Entry from Alexandria via LeMat-Bulk: crystalline InCuTe2N at its relaxed geometry (PBE).

## Properties
The calculation puts the uncorrected formation energy at 1193 meV/atom. As for the symmetry: No. 123. For the relative energy among the computed polymorphs, the calculation gives 0.583 eV per atom.

```
InCuTe2N
1.0
5.865 0.000 0.000
0.000 5.865 0.000
0.000 0.000 3.920
Te N Cu In
2 1 1 1
direct
0.500 0.000 0.000
0.000 0.500 0.000
0.000 0.000 0.500
0.500 0.500 0.500
0.000 0.000 0.000
```



Entry 7:
Entry from Alexandria via LeMat-Bulk: crystalline Tl2Sn2Au at its relaxed geometry (PBE).

## Properties
The calculated formation energy is 0.169 eV/atom. As for the symmetry: No. 139. For the relative energy among the computed polymorphs, the calculation gives 0.205 eV per atom.

```
Tl2Sn2Au
1.0
-2.180 2.004 2.865
-3.077 -2.703 -0.451
0.996 -5.541 7.598
Au Sn Tl
1 2 2
direct
0.000 0.000 0.000
0.250 0.750 0.500
0.750 0.250 0.500
0.412 0.412 0.177
0.588 0.588 0.823
```



Entry 8:
Entry from Alexandria via LeMat-Bulk: crystalline AcPaAu at its relaxed geometry (PBE).

## Properties
The calculated formation energy is -0.277 eV/atom. As for the symmetry: No. 63. For the relative energy among the computed polymorphs, the calculation gives 0.000 eV per atom.

```
AcPaAu
1.0
3.557 0.000 0.000
0.000 5.440 0.000
-1.779 0.000 8.746
Ac Pa Au
2 2 2
direct
0.073 0.250 0.146
0.927 0.750 0.854
0.244 0.750 0.488
0.756 0.250 0.512
0.605 0.750 0.210
0.395 0.250 0.790
```



Entry 9:
Entry from Alexandria via LeMat-Bulk: crystalline LiCaMg2Pt at its relaxed geometry (PBE).

## Properties
The calculated formation energy is -0.322 eV/atom. As for the symmetry: No. 123.

```
LiCaMg2Pt
1.0
5.044 0.000 0.000
0.000 5.044 0.000
0.000 0.000 4.918
Mg Pt Ca Li
2 1 1 1
direct
0.500 0.000 0.000
0.000 0.500 0.000
0.000 0.000 0.000
0.500 0.500 0.500
0.000 0.000 0.500
```



Entry 10:
Entry from Alexandria via LeMat-Bulk: crystalline FeSbRh2 at its relaxed geometry (PBE).

## Properties
The calculation puts the uncorrected formation energy at -103 meV/atom. As for the symmetry: No. 8.

```
FeSbRh2
1.0
-3.745 2.919 0.937
-2.978 1.092 3.656
1.737 3.501 1.863
Sb Rh Fe
1 2 1
direct
0.496 0.496 0.546
0.758 0.758 0.697
0.990 0.990 0.068
0.256 0.256 0.189
```



Entry 11:
Entry from Alexandria via LeMat-Bulk: crystalline MgTe at its relaxed geometry (PBE).

## Properties
The calculation puts the uncorrected formation energy at -474 meV/atom. As for the symmetry: No. 51.

```
MgTe
1.0
-3.436 -0.802 -1.863
1.877 -2.868 -2.227
-1.790 -5.609 5.715
Te Mg
2 2
direct
0.500 0.500 0.912
0.500 0.000 0.421
0.000 0.500 0.435
0.000 0.000 0.898
```



Entry 12:
Entry from Alexandria via LeMat-Bulk: crystalline TiZn2TeO at its relaxed geometry (PBE).

## Properties
The calculation puts the uncorrected formation energy at -435 meV/atom. As for the symmetry: No. 123.

```
TiZn2TeO
1.0
-4.610 -0.542 -1.186
1.035 -2.249 -2.994
-0.268 -3.868 2.813
Te O Zn Ti
1 1 2 1
direct
0.500 0.500 0.500
0.000 0.000 0.000
0.000 0.000 0.500
0.500 0.000 0.000
0.000 0.500 0.000
```